No. 1
# PBE Cs2SnAuSe4, relaxed
# - Formation energy from raw total energies: -640 meV per atom
# - Calculated total energy: -3.51 eV per atom
# - Magnetization: 0.0 μB/f.u.
data_Cs2SnAuSe4
_chemical_formula_sum 'Cs4 Sn2 Au2 Se8'
_symmetry_space_group_name_H-M 'P 1'
_symmetry_Int_Tables_number 1
_cell_length_a 6.889
_cell_length_b 8.424
_cell_length_c 12.048
_cell_angle_alpha 83.29
_cell_angle_beta 73.39
_cell_angle_gamma 65.86
loop_
_symmetry_equiv_pos_as_xyz
'x,y,z'
loop_
_atom_site_label
_atom_site_fract_x
_atom_site_fract_y
_atom_site_fract_z
_atom_site_occupancy
Se1 0.892 0.802 0.892 1
Se2 0.163 0.302 0.392 1
Se3 0.858 0.698 0.608 1
Se4 0.534 0.302 0.608 1
Cs1 0.929 0.500 0.143 1
Se5 0.306 0.802 0.108 1
Cs2 0.821 0.000 0.357 1
Au1 0.000 0.000 0.000 1
Se6 0.216 0.198 0.892 1
Cs3 0.179 0.000 0.643 1
Sn1 0.250 0.500 0.500 1
Se7 0.587 0.198 0.108 1
Cs4 0.571 0.500 0.857 1
Au2 0.750 0.500 0.500 1
Se8 0.444 0.698 0.392 1
Sn2 0.500 0.000 0.000 1



No. 2
# PBE Sr2LaP, relaxed
# - Calculated total energy: -3.26 eV per atom
# - Magnetization: 3.6 μB/f.u.
# - Formation energy from the elements: 0.163 eV/atom
# - Energy above the most stable polymorph in this dataset: 0.728 eV per atom
data_Sr2LaP
_chemical_formula_sum 'Sr2 La1 P1'
_symmetry_space_group_name_H-M 'P 1'
_symmetry_Int_Tables_number 1
_cell_length_a 5.684
_cell_length_b 5.684
_cell_length_c 5.684
_cell_angle_alpha 60.00
_cell_angle_beta 60.00
_cell_angle_gamma 60.00
loop_
_symmetry_equiv_pos_as_xyz
'x,y,z'
loop_
_atom_site_label
_atom_site_fract_x
_atom_site_fract_y
_atom_site_fract_z
_atom_site_occupancy
P1 0.000 0.000 0.000 1
Sr1 0.750 0.750 0.750 1
Sr2 0.250 0.250 0.250 1
La1 0.500 0.500 0.500 1



No. 3
# PBE LiSi2AsS, relaxed
# - Formation energy from raw total energies: 620 meV per atom
# - Calculated total energy: -3.69 eV per atom
# - Magnetization: 0.0 μB/f.u.
data_LiSi2AsS
_chemical_formula_sum 'Li1 Si2 As1 S1'
_symmetry_space_group_name_H-M 'P 1'
_symmetry_Int_Tables_number 1
_cell_length_a 4.729
_cell_length_b 4.870
_cell_length_c 4.729
_cell_angle_alpha 90.00
_cell_angle_beta 90.00
_cell_angle_gamma 90.00
loop_
_symmetry_equiv_pos_as_xyz
'x,y,z'
loop_
_atom_site_label
_atom_site_fract_x
_atom_site_fract_y
_atom_site_fract_z
_atom_site_occupancy
As1 0.000 0.500 0.000 1
S1 0.000 0.000 0.000 1
Si1 0.000 0.000 0.500 1
Li1 0.500 0.500 0.500 1
Si2 0.500 0.000 0.000 1



No. 4
# PBE TlCuS, relaxed
# - Formation energy from raw total energies: -63 meV per atom
# - Calculated total energy: -3.59 eV per atom
# - Magnetization: 0.0 μB/f.u.
data_TlCuS
_chemical_formula_sum 'Tl1 Cu1 S1'
_symmetry_space_group_name_H-M 'P 1'
_symmetry_Int_Tables_number 1
_cell_length_a 3.331
_cell_length_b 3.331
_cell_length_c 6.590
_cell_angle_alpha 104.64
_cell_angle_beta 104.64
_cell_angle_gamma 90.00
loop_
_symmetry_equiv_pos_as_xyz
'x,y,z'
loop_
_atom_site_label
_atom_site_fract_x
_atom_site_fract_y
_atom_site_fract_z
_atom_site_occupancy
Cu1 0.252 0.252 0.505 1
Tl1 0.995 0.995 0.990 1
S1 0.753 0.753 0.505 1



Number 1: density 4.874 g cm⁻³. Number 2: density 4.413 g cm⁻³. Number 3: density 2.593 g cm⁻³. Number 4: density 7.296 g cm⁻³.